8
Lattice="2.788 0.000 0.000 0.000 4.743 0.000 0.000 0.000 9.420" Properties=species:S:1:pos:R:3 comment="Ag2PtRh | the Alexandria database | SCAN | single point on PBEsol structure" polymorph_energy_ev_per_atom=0.1513 e_form_kj_per_mol_atoms=21 pbc="T T T"
Ag 0.000 0.000 0.000
Ag 0.000 2.371 2.260
Ag 1.394 0.000 6.970
Ag 1.394 2.371 4.710
Pt 0.000 2.371 7.116
Pt 1.394 0.000 2.406
Rh 0.000 0.000 4.576
Rh 1.394 2.371 9.286



16
Lattice="6.175 0.000 0.000 0.000 6.175 0.000 0.000 0.000 6.175" Properties=species:S:1:pos:R:3 comment="AgPtRh2 | the Alexandria database | SCAN | single point on PBEsol structure" polymorph_energy_ev_per_atom=0.2432 e_form_kj_per_mol_atoms=29 pbc="T T T"
Ag 0.000 0.000 0.000
Ag 0.000 3.088 3.088
Ag 3.088 0.000 3.088
Ag 3.088 3.088 0.000
Pt 0.000 0.000 3.088
Pt 0.000 3.088 0.000
Pt 3.088 0.000 0.000
Pt 3.088 3.088 3.088
Rh 1.544 1.544 1.544
Rh 1.544 1.544 4.631
Rh 1.544 4.631 1.544
Rh 1.544 4.631 4.631
Rh 4.631 1.544 1.544
Rh 4.631 1.544 4.631
Rh 4.631 4.631 1.544
Rh 4.631 4.631 4.631



12
Lattice="2.720 0.000 0.000 -1.360 2.356 0.000 0.000 0.000 27.212" Properties=species:S:1:pos:R:3 comment="AgPtRh2 | the Alexandria database | SCAN | single point on PBEsol structure" polymorph_energy_ev_per_atom=0.0012 e_form_kj_per_mol_atoms=6 pbc="T T T"
Ag 0.000 0.000 0.000
Ag 0.000 1.571 18.141
Ag 1.360 0.785 9.071
Pt 0.000 0.000 20.532
Pt 0.000 1.571 11.461
Pt 1.360 0.785 2.391
Rh 0.000 0.000 6.729
Rh 0.000 0.000 13.710
Rh 0.000 1.571 4.639
Rh 0.000 1.571 24.870
Rh 1.360 0.785 15.799
Rh 1.360 0.785 22.780



8
Lattice="5.499 0.000 0.000 0.000 7.912 0.000 0.000 0.000 2.729" Properties=species:S:1:pos:R:3 comment="AgPt2Rh | the Alexandria database | SCAN | single point on PBEsol structure" polymorph_energy_ev_per_atom=0.0276 e_form_kj_per_mol_atoms=3 pbc="T T T"
Ag 0.000 0.000 0.000
Ag 2.749 3.956 0.000
Pt 1.375 1.978 1.365
Pt 1.375 5.934 1.365
Pt 4.124 1.978 1.365
Pt 4.124 5.934 1.365
Rh 0.000 3.956 0.000
Rh 2.749 0.000 0.000



8
Lattice="9.410 0.000 0.000 0.000 2.744 0.000 -0.801 0.000 4.710" Properties=species:S:1:pos:R:3 comment="Ag2PtRh | the Alexandria database | SCAN | single point on PBEsol structure" polymorph_energy_ev_per_atom=0.0226 e_form_kj_per_mol_atoms=8 pbc="T T T"
Ag 2.144 0.000 1.169
Ag 1.760 1.372 3.541
Ag 6.849 1.372 1.169
Ag 6.465 0.000 3.541
Pt -0.400 0.000 2.355
Pt 4.305 1.372 2.355
Rh 0.000 1.372 0.000
Rh 4.705 0.000 0.000



4
Lattice="2.719 0.000 0.000 0.000 2.719 0.000 0.000 0.000 7.884" Properties=species:S:1:pos:R:3 comment="AgPtRh2 | the Alexandria database | SCAN | single point on PBEsol structure" polymorph_energy_ev_per_atom=0.0000 e_form_kj_per_mol_atoms=6 pbc="T T T"
Ag 0.000 0.000 0.000
Pt 1.360 1.360 2.123
Rh 0.000 0.000 4.041
Rh 1.360 1.360 5.797



4
Lattice="3.840 0.000 0.000 0.000 3.840 0.000 0.000 0.000 4.154" Properties=species:S:1:pos:R:3 comment="Ag2PtRh | the Alexandria database | SCAN | single point on PBEsol structure" polymorph_energy_ev_per_atom=0.1561 e_form_kj_per_mol_atoms=21 pbc="T T T"
Ag 0.000 1.920 0.000
Ag 1.920 0.000 0.000
Pt 0.000 0.000 2.077
Rh 1.920 1.920 2.077



4
Lattice="4.784 0.000 0.000 0.000 4.784 0.000 0.000 0.000 2.707" Properties=species:S:1:pos:R:3 comment="Ag2RuPt | the Alexandria database | SCAN | single point on PBEsol structure" polymorph_energy_ev_per_atom=0.2367 e_form_kj_per_mol_atoms=58 pbc="T T T"
Ag 0.000 2.392 0.000
Ag 2.392 0.000 0.000
Ru 0.000 0.000 1.354
Pt 2.392 2.392 1.354



12
Lattice="5.958 0.000 0.000 0.000 5.958 0.000 0.000 0.000 5.958" Properties=species:S:1:pos:R:3 comment="AgRuPt | the Alexandria database | SCAN | single point on PBEsol structure" polymorph_energy_ev_per_atom=0.8583 e_form_kj_per_mol_atoms=104 pbc="T T T"
Ag 0.000 0.000 0.000
Ag 0.000 2.979 2.979
Ag 2.979 0.000 2.979
Ag 2.979 2.979 0.000
Ru 1.490 1.490 1.490
Ru 1.490 4.469 4.469
Ru 4.469 1.490 4.469
Ru 4.469 4.469 1.490
Pt 1.490 1.490 4.469
Pt 1.490 4.469 1.490
Pt 4.469 1.490 1.490
Pt 4.469 4.469 4.469



8
Lattice="3.851 0.000 0.000 0.000 3.851 0.000 0.000 0.000 8.343" Properties=species:S:1:pos:R:3 comment="Ag2RuPt | the Alexandria database | SCAN | single point on PBEsol structure" polymorph_energy_ev_per_atom=0.0000 e_form_kj_per_mol_atoms=35 pbc="T T T"
Ag 0.000 1.925 2.086
Ag 0.000 1.925 6.257
Ag 1.925 0.000 2.086
Ag 1.925 0.000 6.257
Ru 0.000 0.000 0.000
Ru 1.925 1.925 4.171
Pt 0.000 0.000 4.171
Pt 1.925 1.925 0.000



4
Lattice="2.666 0.000 0.000 0.000 3.963 0.000 0.000 0.000 5.476" Properties=species:S:1:pos:R:3 comment="AgRu2Pt | the Alexandria database | SCAN | single point on PBEsol structure" e_form_kj_per_mol_atoms=38 pbc="T T T"
Ag 0.000 0.000 0.000
Ru 1.333 1.982 1.440
Ru 1.333 1.982 4.036
Pt 0.000 0.000 2.738



3
Lattice="2.731 0.000 0.000 -1.366 2.365 0.000 0.000 0.000 6.886" Properties=species:S:1:pos:R:3 comment="AgRuPt | the Alexandria database | SCAN | single point on PBEsol structure" polymorph_energy_ev_per_atom=0.0000 e_form_kj_per_mol_atoms=22 pbc="T T T"
Ag 0.000 0.000 0.000
Ru 1.366 0.788 2.343
Pt 0.000 1.577 4.482



4
Lattice="3.243 0.000 0.000 0.000 3.243 0.000 0.000 0.000 7.714" Properties=species:S:1:pos:R:3 comment="AgSb2Pt | the Alexandria database | SCAN | single point on PBEsol structure" polymorph_energy_ev_per_atom=0.0000 pbc="T T T"
Ag 0.000 0.000 0.000
Sb 1.621 1.621 2.083
Sb 1.621 1.621 5.632
Pt 0.000 0.000 3.857



8
Lattice="4.161 0.000 0.000 0.000 4.161 0.000 0.000 0.000 9.256" Properties=species:S:1:pos:R:3 comment="AgSb2Pt | the Alexandria database | SCAN | single point on PBEsol structure" polymorph_energy_ev_per_atom=0.0760 pbc="T T T"
Ag 0.000 0.000 0.000
Ag 2.081 2.081 4.628
Sb 0.000 0.000 4.628
Sb 0.000 2.081 6.942
Sb 2.081 0.000 2.314
Sb 2.081 2.081 0.000
Pt 0.000 2.081 2.314
Pt 2.081 0.000 6.942



5
Lattice="4.950 0.000 0.000 0.000 4.950 0.000 0.000 0.000 4.950" Properties=species:S:1:pos:R:3 comment="Ag3SbPt | the Alexandria database | SCAN | single point on PBEsol structure" energy_ev_per_cell=-197.63 pbc="T T T"
Ag 0.000 0.000 2.475
Ag 0.000 2.475 0.000
Ag 2.475 0.000 0.000
Sb 2.475 2.475 2.475
Pt 0.000 0.000 0.000



4
Lattice="2.963 0.000 0.000 0.000 2.963 0.000 0.000 0.000 8.376" Properties=species:S:1:pos:R:3 comment="Ag2SbPt | the Alexandria database | SCAN | single point on PBEsol structure" energy_ev_per_cell=-169.54 pbc="T T T"
Ag 0.000 0.000 1.859
Ag 0.000 0.000 6.517
Sb 1.482 1.482 4.188
Pt 1.482 1.482 0.000



8
Lattice="6.143 0.000 0.000 0.000 7.147 0.000 0.000 0.000 3.658" Properties=species:S:1:pos:R:3 comment="AgSb2Pt | the Alexandria database | SCAN | single point on PBEsol structure" polymorph_energy_ev_per_atom=0.0311 pbc="T T T"
Ag 0.000 0.000 0.000
Ag 3.071 3.573 0.000
Sb 1.536 1.787 1.829
Sb 1.536 5.360 1.829
Sb 4.607 1.787 1.829
Sb 4.607 5.360 1.829
Pt 0.000 3.573 0.000
Pt 3.071 0.000 0.000



10
Lattice="3.821 0.000 0.000 0.000 3.821 0.000 0.000 0.000 14.432" Properties=species:S:1:pos:R:3 comment="AgSb2Pt2 | the Alexandria database | SCAN | single point on PBEsol structure" energy_ev_per_cell=-493.42 pbc="T T T"
Ag 0.000 0.000 0.000
Ag 1.911 1.911 7.216
Sb 0.000 0.000 5.536
Sb 0.000 0.000 8.896
Sb 1.911 1.911 1.680
Sb 1.911 1.911 12.752
Pt 0.000 1.911 3.608
Pt 0.000 1.911 10.824
Pt 1.911 0.000 3.608
Pt 1.911 0.000 10.824



8
Lattice="4.643 0.000 0.000 0.000 4.643 0.000 0.000 0.000 7.447" Properties=species:S:1:pos:R:3 comment="AgSb2Pt | the Alexandria database | SCAN | single point on PBEsol structure" polymorph_energy_ev_per_atom=0.0288 pbc="T T T"
Ag 0.000 0.000 0.000
Ag 2.322 2.322 3.723
Sb 0.000 2.322 1.862
Sb 0.000 2.322 5.585
Sb 2.322 0.000 1.862
Sb 2.322 0.000 5.585
Pt 0.000 0.000 3.723
Pt 2.322 2.322 0.000



6
Lattice="0.000 3.686 3.686 3.686 0.000 3.686 3.686 3.686 0.000" Properties=species:S:1:pos:R:3 comment="ScAgPt4 | the Alexandria database | SCAN | single point on PBEsol structure" e_form_kj_per_mol_atoms=-68 pbc="T T T"
Sc 0.000 0.000 0.000
Ag 1.843 1.843 1.843
Pt 4.605 2.767 2.767
Pt 2.767 4.605 2.767
Pt 2.767 2.767 4.605
Pt 4.605 4.605 4.605